A plane-wave DFT calculation with PBE+U was carried out for MgMn3F after structural relaxation.

Values from the calculation:
D(E_F)   2.77 states/eV per cell
ΔE to the lowest computed polymorph   0 meV/atom
DFT total energy   -5.23 eV/atom
Symmetry   Pm-3m (221)
M_tot   13.9 Bohr magnetons per cell

Lattice parameters (Å, degrees): 4.587 4.587 4.587 90.00 90.00 90.00
Site moments in Bohr magnetons follow the coordinates.
Sites, in units of the cell vectors:
Mn  0.000  0.500  0.000  4.48
Mn  0.500  0.000  0.000  4.50
Mn  0.000  0.000  0.500  4.53
F  0.000  0.000  0.000  0.12
Mg  0.500  0.500  0.500  -0.06